(1)
# Hg3P

A relaxed Hg3P crystal (PBE-GGA, Alexandria via LeMat-Bulk).

The structure belongs to space group P-6m2 (No. 187); the cell edges are 2.9987, 2.9987 and 11.9059 Å and the angles 90.00°, 90.00° and 120.00°. Symmetry generates all atoms from Hg at (0.0000, 0.0000, 0.0000), Hg at (0.3333, 0.6667, 0.2728) and P at (0.0000, 0.0000, 0.5000).

The energy relative to the lowest polymorph listed for this composition is 0.361 eV per atom. The formation energy from the elements comes out at 0.44 eV/atom. The value obtained for the calculated density is 11.3 Mg/m³. The total energy is -1.139 eV per atom.



(2)
# GdThMg2

A relaxed GdThMg2 crystal (PBE-GGA, Alexandria via LeMat-Bulk).

The structure belongs to space group R-3m (No. 166, hexagonal axes); the cell edges are 3.3883, 3.3883 and 34.5812 Å and the angles 90.00°, 90.00° and 120.00°. Symmetry generates all atoms from Gd at (0.0000, 0.0000, 0.0000), Th at (0.0000, 0.0000, 0.5000) and Mg at (0.0000, 0.0000, 0.2515).

The energy relative to the lowest polymorph listed for this composition is 0.076 eV per atom. The formation energy from the elements comes out at 0.07 eV/atom. The value obtained for the calculated density is 6.3 Mg/m³. The total energy is -6.103 eV per atom.



(3)
# Zr2AsRu

A relaxed Zr2AsRu crystal (PBE-GGA, Alexandria via LeMat-Bulk).

The structure belongs to space group I-4m2 (No. 119); the cell edges are 3.837, 3.837 and 9.983 Å and the angles 90.00°, 90.00° and 90.00°. Symmetry generates all atoms from Zr at (0.000, 0.000, 0.000), Zr at (0.000, 0.500, 0.250), As at (0.000, 0.500, 0.750) and Ru at (0.000, 0.000, 0.500).

The formation energy from the elements comes out at -0.60 eV/atom. The value obtained for the calculated density is 8.1 Mg/m³. The total energy is -8.354 eV per atom.



(4)
# Li2NpWN4

A relaxed Li2NpWN4 crystal (PBE-GGA, Alexandria via LeMat-Bulk).

The structure belongs to space group Fmm2 (No. 42); the cell edges are 6.345, 8.226 and 6.352 Å and the angles 90.00°, 90.00° and 90.00°. Symmetry generates all atoms from Li at (0.250, 0.250, 0.000), Np at (0.000, 0.000, 0.252), W at (0.000, 0.000, 0.762), N at (0.000, 0.241, 0.738) and N at (0.242, 0.000, 0.999).

The value obtained for the calculated density is 9.8 Mg/m³. The total energy is -8.597 eV per atom.



(5)
# SmBe4Te3O12

A relaxed SmBe4Te3O12 crystal (PBE-GGA, Alexandria via LeMat-Bulk).

The structure belongs to space group R32 (No. 155, hexagonal axes); the cell edges are 10.3608, 10.3608 and 8.0411 Å and the angles 90.00°, 90.00° and 120.00°. Symmetry generates all atoms from Sm at (0.0000, 0.0000, 0.0000), Be at (0.0000, 0.0000, 0.5000), Be at (0.0000, 0.4515, 0.5000), Te at (0.0000, 0.5432, 0.0000), O at (0.0000, 0.6026, 0.5000), O at (0.0000, 0.8511, 0.5000) and O at (0.0228, 0.1996, 0.1772).

The value obtained for the calculated density is 5.1 Mg/m³. The total energy is -6.246 eV per atom.



(6)
# NaMgAu

A relaxed NaMgAu crystal (PBE-GGA, Alexandria via LeMat-Bulk).

The structure belongs to space group P-6m2 (No. 187); the cell edges are 4.7183, 4.7183 and 3.6126 Å and the angles 90.00°, 90.00° and 120.00°. Symmetry generates all atoms from Na at (0.0000, 0.0000, 0.0000), Mg at (0.6667, 0.3333, 0.5000) and Au at (0.3333, 0.6667, 0.5000).

The energy relative to the lowest polymorph listed for this composition is 0.122 eV per atom. The formation energy from the elements comes out at -0.24 eV/atom. The value obtained for the calculated density is 5.8 Mg/m³. The total energy is -2.305 eV per atom.



(7)
# FeSiHRh2

A relaxed FeSiHRh2 crystal (PBE-GGA, Alexandria via LeMat-Bulk).

The structure belongs to space group P4/mmm (No. 123); the cell edges are 3.897, 3.897 and 3.628 Å and the angles 90.00°, 90.00° and 90.00°. Symmetry generates all atoms from Fe at (0.000, 0.000, 0.000), Si at (0.500, 0.500, 0.000), H at (0.000, 0.000, 0.500) and Rh at (0.000, 0.500, 0.500).

The value obtained for the calculated density is 8.8 Mg/m³. The total energy is -6.636 eV per atom.



(8)
# Ga2H4N

A relaxed Ga2H4N crystal (PBE-GGA, Alexandria via LeMat-Bulk).

The structure belongs to space group I4/mmm (No. 139); the cell edges are 2.726, 2.726 and 15.568 Å and the angles 90.00°, 90.00° and 90.00°. Symmetry generates all atoms from Ga at (0.000, 0.000, 0.155), H at (0.000, 0.000, 0.291), H at (0.000, 0.500, 0.000) and N at (0.000, 0.000, 0.500).

The value obtained for the calculated density is 4.5 Mg/m³. The total energy is -3.424 eV per atom.



(9)
# YScAu3

A relaxed YScAu3 crystal (PBE-GGA, Alexandria via LeMat-Bulk).

The structure belongs to space group Pm-3m (No. 221); the cell edges are 5.275, 5.275 and 5.275 Å and the angles 90.00°, 90.00° and 90.00°. Symmetry generates all atoms from Y at (0.000, 0.000, 0.000), Sc at (0.500, 0.500, 0.500) and Au at (0.000, 0.000, 0.500).

The energy relative to the lowest polymorph listed for this composition is 0.428 eV per atom. The formation energy from the elements comes out at 0.30 eV/atom. The value obtained for the calculated density is 8.2 Mg/m³. The total energy is -4.221 eV per atom.



(10)
# CsCdTe2N

A relaxed CsCdTe2N crystal (PBE-GGA, Alexandria via LeMat-Bulk).

The structure belongs to space group P4/mmm (No. 123); the cell edges are 6.674, 6.674 and 4.179 Å and the angles 90.00°, 90.00° and 90.00°. Symmetry generates all atoms from Cs at (0.000, 0.000, 0.000), Cd at (0.500, 0.500, 0.500), Te at (0.000, 0.500, 0.000) and N at (0.000, 0.000, 0.500).

The energy relative to the lowest polymorph listed for this composition is 1.047 eV per atom. The value obtained for the calculated density is 4.6 Mg/m³. The total energy is -1.684 eV per atom.



(11)
# YP2H2

A relaxed YP2H2 crystal (PBE-GGA, Alexandria via LeMat-Bulk).

The structure belongs to space group I4/mmm (No. 139); the cell edges are 3.858, 3.858 and 8.728 Å and the angles 90.00°, 90.00° and 90.00°. Symmetry generates all atoms from Y at (0.000, 0.000, 0.000), P at (0.000, 0.500, 0.250) and H at (0.000, 0.000, 0.455).

The energy relative to the lowest polymorph listed for this composition is 0.000 eV per atom. The value obtained for the calculated density is 3.9 Mg/m³. The total energy is -5.183 eV per atom.



(12)
# NaSi2SnAu

A relaxed NaSi2SnAu crystal (PBE-GGA, Alexandria via LeMat-Bulk).

The structure belongs to space group P4/mmm (No. 123); the cell edges are 4.865, 4.865 and 5.223 Å and the angles 90.00°, 90.00° and 90.00°. Symmetry generates all atoms from Na at (0.000, 0.000, 0.000), Si at (0.000, 0.500, 0.500), Sn at (0.500, 0.500, 0.000) and Au at (0.000, 0.000, 0.500).

The value obtained for the calculated density is 5.3 Mg/m³. The total energy is -3.430 eV per atom.